#1
The following is a DFT calculation (PBEsol) of TcRu2Pt after structural relaxation. Values from VASP.

Output
**V**: 55 Å³/cell

Structure (Quantum ESPRESSO input):
```
&SYSTEM
  ibrav = 0, nat = 4, ntyp = 3
/
ATOMIC_SPECIES
Tc 98.00 Tc.upf
Ru 101.07 Ru.upf
Pt 195.08 Pt.upf
ATOMIC_POSITIONS crystal
Tc 0.000 0.000 0.000
Ru 0.495 0.495 0.495
Ru 0.748 0.748 0.748
Pt 0.247 0.247 0.247
CELL_PARAMETERS angstrom
1.346 0.777 8.831
-1.346 0.777 8.831
0.000 -1.554 8.831
```

=====

#2
The following is a DFT calculation (PBEsol) of TcRu2Pt after structural relaxation. Values from VASP.

Output
**V**: 55 Å³/cell

Structure (Quantum ESPRESSO input):
```
&SYSTEM
  ibrav = 0, nat = 4, ntyp = 3
/
ATOMIC_SPECIES
Tc 98.00 Tc.upf
Ru 101.07 Ru.upf
Pt 195.08 Pt.upf
ATOMIC_POSITIONS crystal
Tc 0.000 0.000 0.000
Ru 0.000 0.000 0.528
Ru 0.500 0.500 0.761
Pt 0.500 0.500 0.263
CELL_PARAMETERS angstrom
2.676 0.000 0.000
0.000 3.839 0.000
0.000 0.000 5.383
```

=====

Most stable pick: #2. Distance to second place: 4.6 kJ/mol of atoms.

=====

#1
The following is a DFT calculation (PBEsol) of Cs after structural relaxation. Values from VASP.

Output
**V**: 2197 Å³/cell

Structure (Quantum ESPRESSO input):
```
&SYSTEM
  ibrav = 0, nat = 20, ntyp = 1
/
ATOMIC_SPECIES
Cs 132.91 Cs.upf
ATOMIC_POSITIONS crystal
Cs 0.047 0.125 0.797
Cs 0.062 0.938 0.438
Cs 0.125 0.797 0.047
Cs 0.188 0.188 0.188
Cs 0.203 0.547 0.375
Cs 0.297 0.453 0.875
Cs 0.312 0.812 0.688
Cs 0.375 0.203 0.547
Cs 0.438 0.062 0.938
Cs 0.453 0.875 0.297
Cs 0.547 0.375 0.203
Cs 0.562 0.562 0.562
Cs 0.625 0.703 0.953
Cs 0.688 0.312 0.812
Cs 0.703 0.953 0.625
Cs 0.797 0.047 0.125
Cs 0.812 0.688 0.312
Cs 0.875 0.297 0.453
Cs 0.938 0.438 0.062
Cs 0.953 0.625 0.703
CELL_PARAMETERS angstrom
13.000 0.000 0.000
0.000 13.000 0.000
0.000 0.000 13.000
```

=====

#2
The following is a DFT calculation (PBEsol) of Cs after structural relaxation. Values from VASP.

Output
**V**: 215 Å³/cell

Structure (Quantum ESPRESSO input):
```
&SYSTEM
  ibrav = 0, nat = 2, ntyp = 1
/
ATOMIC_SPECIES
Cs 132.91 Cs.upf
ATOMIC_POSITIONS crystal
Cs 0.161 0.839 0.750
Cs 0.839 0.161 0.250
CELL_PARAMETERS angstrom
2.661 -4.662 0.000
2.661 4.662 0.000
0.000 0.000 8.683
```

=====

Most stable pick: #2. Distance to second place: 1.2 kJ/mol of atoms.